Compound: Ti2Pd2Rh
Source: Alexandria
Functional: GGA-PBE
Structure: relaxed

Unit cell a=4.347 b=4.347 c=5.332 alpha=65.88 beta=65.88 gamma=59.92
Each line ends with the local moment (μB).
Fractional coordinates of all 5 atoms:
Pd (0.787, 0.287, 0.638)  0.01
Ti (0.402, 0.902, 0.794)  0.22
Ti (0.598, 0.098, 0.206)  0.22
Rh (0.000, 0.500, 0.000)  0.05
Pd (0.213, 0.713, 0.362)  0.01

Calculated values
For the density of states at the Fermi level, the calculation gives 0.883 states/eV/atom. Its formation energy is -0.566 eV per atom. The space-group type is R-3m (166). As for the energy above the most stable polymorph in this dataset: 0.000 eV per atom.

---

Compound: Ho2CuRu2
Source: Alexandria
Functional: GGA-PBE
Structure: relaxed

Unit cell a=5.437 b=5.304 c=8.103 alpha=102.42 beta=90.00 gamma=120.83
Fractional coordinates of all 10 atoms:
Ho (0.512, 0.303, 0.152)
Ru (0.000, 0.264, 0.004)
Ru (0.000, 0.736, 0.996)
Ru (0.264, 0.264, 0.504)
Cu (0.846, 0.000, 0.250)
Ru (0.736, 0.736, 0.496)
Ho (0.791, 0.303, 0.652)
Ho (0.488, 0.697, 0.848)
Ho (0.209, 0.697, 0.348)
Cu (0.154, 0.000, 0.750)

Calculated values
For the density of states at the Fermi level, the calculation gives 0.810 states/eV/atom. Its formation energy is -0.245 eV per atom. The space-group type is C2/c (15).

---

Compound: Be2InHg
Source: Alexandria
Functional: GGA-PBE
Structure: relaxed

Unit cell a=4.132 b=4.132 c=3.877 alpha=90.00 beta=90.00 gamma=90.00
Fractional coordinates of all 4 atoms:
Hg (0.500, 0.000, 0.500)
Be (0.000, 0.000, 0.000)
Be (0.500, 0.500, 0.000)
In (0.000, 0.500, 0.500)

Calculated values
For the density of states at the Fermi level, the calculation gives 0.228 states/eV/atom. Its formation energy is 0.624 eV per atom. The space-group type is P4/mmm (123). As for the energy above the most stable polymorph in this dataset: 0.242 eV per atom.

---

Compound: Rb4Tb3InTe8
Source: Alexandria
Functional: GGA-PBE
Structure: relaxed

Unit cell a=9.065 b=10.037 c=9.067 alpha=116.86 beta=119.99 gamma=90.00
Fractional coordinates of all 16 atoms:
Te (0.266, 0.299, 0.533)
Rb (0.000, 0.000, 0.000)
Rb (0.500, 0.000, 0.500)
Te (0.770, 0.303, 0.539)
Tb (0.500, 0.500, 0.000)
Rb (0.000, 0.000, 0.500)
Te (0.737, 0.697, 0.967)
Te (0.230, 0.697, 0.967)
Rb (0.500, 0.000, 0.000)
In (0.000, 0.500, 0.000)
Te (0.770, 0.303, 0.033)
Tb (0.000, 0.500, 0.500)
Te (0.734, 0.701, 0.467)
Te (0.263, 0.303, 0.033)
Tb (0.500, 0.500, 0.500)
Te (0.230, 0.697, 0.461)

Calculated values
For the density of states at the Fermi level, the calculation gives 0.131 states/eV/atom. The space-group type is R-3m (166). For the formation energy without anion corrections, the calculation gives -27.07 kcal/mol of atoms.

---

Compound: Cd6Pt2Rh
Source: Alexandria
Functional: GGA-PBE
Structure: relaxed

Unit cell a=4.331 b=4.944 c=8.931 alpha=78.23 beta=90.00 gamma=115.98
Fractional coordinates of all 9 atoms:
Cd (0.665, 0.330, 0.595)
Cd (0.329, 0.658, 0.063)
Rh (0.000, 0.000, 0.500)
Cd (0.998, 0.995, 0.190)
Cd (0.671, 0.342, 0.937)
Cd (0.335, 0.670, 0.405)
Pt (0.670, 0.340, 0.271)
Pt (0.330, 0.660, 0.729)
Cd (0.002, 0.005, 0.810)

Calculated values
For the density of states at the Fermi level, the calculation gives 0.252 states/eV/atom. Its formation energy is -0.179 eV per atom. The space-group type is C2/m (12). As for the energy above the most stable polymorph in this dataset: 0.000 eV per atom.

---

Compound: WBr2Cl
Source: Alexandria
Functional: GGA-PBE
Structure: relaxed

Unit cell a=6.857 b=6.857 c=7.032 alpha=60.74 beta=60.74 gamma=27.58
Each line ends with the local moment (μB).
Fractional coordinates of all 4 atoms:
Cl (0.606, 0.606, 0.377)  0.01
W (0.244, 0.244, 0.375)  1.25
Br (0.899, 0.899, 0.090)  0.03
Br (0.750, 0.750, 0.658)  0.03

Calculated values
For the density of states at the Fermi level, the calculation gives 0.812 states/eV/atom. The space-group type is Cm (8). As for the energy above the most stable polymorph in this dataset: 0.142 eV per atom. For the formation energy without anion corrections, the calculation gives -2.67 kcal/mol of atoms.

---

Compound: CeHg2Cl8
Source: Alexandria
Functional: GGA-PBE
Structure: relaxed

Unit cell a=7.123 b=7.161 c=9.951 alpha=105.60 beta=90.00 gamma=119.82
Fractional coordinates of all 11 atoms:
Cl (0.902, 0.301, 0.118)
Cl (0.601, 0.699, 0.882)
Cl (0.656, 0.311, 0.483)
Ce (0.000, 0.000, 0.000)
Cl (0.957, 0.914, 0.267)
Cl (0.344, 0.689, 0.517)
Cl (0.043, 0.086, 0.733)
Cl (0.098, 0.699, 0.882)
Cl (0.399, 0.301, 0.118)
Hg (0.158, 0.316, 0.374)
Hg (0.842, 0.684, 0.626)

Calculated values
The space-group type is C2/m (12). As for the energy above the most stable polymorph in this dataset: 0.000 eV per atom. For the formation energy without anion corrections, the calculation gives -26.60 kcal/mol of atoms.

---

Compound: La7Nd12Y
Source: Alexandria
Functional: GGA-PBE
Structure: relaxed

Unit cell a=10.449 b=10.449 c=10.449 alpha=113.23 beta=113.23 gamma=113.23
Fractional coordinates of all 20 atoms:
La (0.500, 0.500, 0.500)
Nd (0.661, 0.987, 0.661)
La (0.571, 0.917, 0.917)
Nd (0.987, 0.661, 0.661)
Nd (0.785, 0.500, 0.215)
Nd (0.339, 0.339, 0.013)
La (0.917, 0.571, 0.917)
La (0.917, 0.917, 0.571)
Nd (0.339, 0.013, 0.339)
Nd (0.013, 0.339, 0.339)
Nd (0.215, 0.785, 0.500)
La (0.083, 0.429, 0.083)
Nd (0.785, 0.215, 0.500)
Nd (0.500, 0.785, 0.215)
La (0.083, 0.083, 0.429)
Nd (0.215, 0.500, 0.785)
Y (0.000, 0.000, 0.000)
La (0.429, 0.083, 0.083)
Nd (0.500, 0.215, 0.785)
Nd (0.661, 0.661, 0.987)

Calculated values
For the density of states at the Fermi level, the calculation gives 1.470 states/eV/atom. Its formation energy is 0.178 eV per atom. The space-group type is R-3m (166). As for the energy above the most stable polymorph in this dataset: 0.000 eV per atom.

---

Compound: MnZnSb
Source: Alexandria
Functional: GGA-PBE
Structure: relaxed

Unit cell a=4.494 b=4.495 c=5.594 alpha=90.00 beta=90.00 gamma=90.00
Each line ends with the local moment (μB).
Fractional coordinates of all 6 atoms:
Zn (0.272, 0.599, 0.236)  -0.05
Zn (0.773, 0.099, 0.736)  -0.05
Mn (0.772, 0.599, 0.986)  2.44
Mn (0.772, 0.599, 0.486)  2.44
Sb (0.772, 0.099, 0.236)  -0.03
Sb (0.272, 0.599, 0.736)  -0.03

Calculated values
For the density of states at the Fermi level, the calculation gives 0.517 states/eV/atom. The space-group type is P4_2/mmc (131). For the formation energy without anion corrections, the calculation gives 1.69 kcal/mol of atoms.

---

Compound: Sc2SiRu2
Source: Alexandria
Functional: GGA-PBE
Structure: relaxed

Unit cell a=6.322 b=6.322 c=4.254 alpha=90.00 beta=90.00 gamma=90.00
Fractional coordinates of all 10 atoms:
Si (0.500, 0.500, 0.000)
Ru (0.354, 0.854, 0.000)
Ru (0.646, 0.146, 0.000)
Sc (0.326, 0.174, 0.500)
Si (0.000, 0.000, 0.000)
Sc (0.174, 0.674, 0.500)
Sc (0.826, 0.326, 0.500)
Ru (0.854, 0.646, 0.000)
Sc (0.674, 0.826, 0.500)
Ru (0.146, 0.354, 0.000)

Calculated values
For the density of states at the Fermi level, the calculation gives 0.538 states/eV/atom. The space-group type is P4/mbm (127). For the formation energy without anion corrections, the calculation gives -14.63 kcal/mol of atoms.

---

Compound: Pm2Pd4Pt3
Source: Alexandria
Functional: GGA-PBE
Structure: relaxed

Unit cell a=5.258 b=5.359 c=7.342 alpha=79.88 beta=69.02 gamma=60.62
Fractional coordinates of all 9 atoms:
Pd (0.009, 0.326, 0.655)
Pt (0.500, 0.500, 0.000)
Pd (0.336, 0.674, 0.655)
Pm (0.635, 0.000, 0.730)
Pt (0.000, 0.000, 0.000)
Pd (0.664, 0.326, 0.345)
Pm (0.365, 0.000, 0.270)
Pt (0.000, 0.500, 0.000)
Pd (0.991, 0.674, 0.345)

Calculated values
For the density of states at the Fermi level, the calculation gives 0.657 states/eV/atom. Its formation energy is -0.769 eV per atom. The space-group type is Fmmm (69).

---

Compound: NaTiO3
Source: Alexandria
Functional: GGA-PBE
Structure: relaxed

Unit cell a=5.424 b=6.328 c=3.895 alpha=71.02 beta=69.88 gamma=97.56
Fractional coordinates of all 10 atoms:
Ti (0.828, 0.817, 0.149)
Na (0.344, 0.307, 0.136)
O (0.897, 0.809, 0.616)
O (0.167, 0.700, 0.043)
O (0.984, 0.356, 0.835)
O (0.533, 0.966, 0.226)
O (0.081, 0.152, 0.824)
Ti (0.237, 0.692, 0.510)
Na (0.721, 0.202, 0.523)
O (0.531, 0.542, 0.434)

Calculated values
For the density of states at the Fermi level, the calculation gives 0.000 states/eV/atom. The space-group type is P-1 (2). For the formation energy without anion corrections, the calculation gives -53.32 kcal/mol of atoms.